1.
VASP calculation (PBE) on a relaxed YSnPb crystal.

```
YSnPb
1.0
3.371 0.000 0.000
0.000 3.371 0.000
-1.686 -1.686 8.364
Pb Y Sn
1 1 1
Cartesian
0.000 0.000 2.197 Pb
1.686 1.686 4.462 Y
1.686 1.686 7.560 Sn
```

Summary:
relative energy among the computed polymorphs	534	meV per atom
SG	I4mm
V	31.69	Å³/atom
calculated total energy	-4.696	eV/atom

=====

2.
VASP calculation (PBE) on a relaxed Y4SnPb crystal.

```
Y4SnPb
1.0
6.330 -0.248 0.000
-1.928 8.251 0.000
-2.201 -4.002 6.979
Y Sn Pb
8 2 2
Cartesian
-2.064 -1.546 5.869 Y
2.206 3.075 4.358 Y
-1.101 1.670 5.869 Y
-0.968 5.052 4.358 Y
3.169 -1.051 2.621 Y
3.302 2.331 1.110 Y
-0.004 0.926 2.621 Y
4.266 5.548 1.110 Y
1.583 -0.062 0.022 Sn
0.619 4.064 6.957 Sn
0.619 4.064 1.704 Pb
1.583 -0.062 5.275 Pb
```

Summary:
SG	C2/c
V	30.10	Å³/atom
calculated total energy	-6.045	eV/atom

=====

3.
VASP calculation (PBE) on a relaxed Y2Sn2Pb crystal.

```
Y2Sn2Pb
1.0
4.110 0.000 0.000
0.000 4.110 0.000
2.055 2.055 8.757
Pb Y Sn
1 2 2
Cartesian
0.000 0.000 0.000 Pb
2.055 2.055 1.868 Y
4.110 4.110 6.889 Y
4.110 2.055 4.379 Sn
2.055 4.110 4.379 Sn
```

Summary:
SG	I4/mmm
V	29.59	Å³/atom
calculated total energy	-5.313	eV/atom

=====

4.
VASP calculation (PBE) on a relaxed Y2SnPb crystal.

```
Y2SnPb
1.0
-0.188 0.127 5.412
-1.134 4.635 2.563
-4.750 0.603 2.531
Pb Y Sn
1 2 1
Cartesian
-3.036 2.682 5.253 Pb
-1.518 1.341 2.626 Y
-4.554 4.024 7.879 Y
0.000 0.000 0.000 Sn
```

Summary:
relative energy among the computed polymorphs	153	meV per atom
SG	Fm-3m
V	28.09	Å³/atom
calculated total energy	-5.643	eV/atom